# 1
# Ti3VBi2

A geometry-optimized Ti3VBi2 structure (PBE-GGA, Alexandria via LeMat-Bulk).

## Properties
Calculated formation energy   0.00 eV per atom
Symmetry   Cmc2_1, No. 36
Fermi-level density of states   0.60 states/eV per atom

Lattice parameters (Å, degrees): 6.3933 7.5153 7.5153 136.03 90.00 90.00
Element x y z (fractional)
V 0.2618 0.8946 0.8946
V 0.7618 0.1054 0.1054
Ti 0.8575 0.6601 0.6601
Ti 0.0485 0.2187 0.9597
Ti 0.3575 0.3399 0.3399
Ti 0.0485 0.9597 0.2187
Ti 0.5485 0.7813 0.0403
Ti 0.5485 0.0403 0.7813
Bi 0.6758 0.2414 0.5669
Bi 0.1758 0.7586 0.4331
Bi 0.6758 0.5669 0.2414
Bi 0.1758 0.4331 0.7586

# 2
# HoPdSe

A geometry-optimized HoPdSe structure (PBE-GGA, Alexandria via LeMat-Bulk).

## Properties
Energy relative to the elements, uncorrected   -0.856 eV/atom
Symmetry   Fddd, No. 70
Fermi-level density of states   0.79 states/eV per atom

Lattice parameters (Å, degrees): 6.6940 6.6940 7.5795 107.92 107.92 107.65
Element x y z (fractional)
Pd 0.6250 0.8750 0.7500
Pd 0.1250 0.3750 0.2500
Pd 0.1250 0.8750 0.7500
Pd 0.1250 0.8750 0.2500
Se 0.2833 0.2833 0.0000
Se 0.7167 0.7167 0.0000
Se 0.5333 0.0333 0.5000
Se 0.9667 0.4667 0.5000
Ho 0.6840 0.6840 0.3681
Ho 0.3160 0.3160 0.6319
Ho 0.9340 0.4340 0.8681
Ho 0.5660 0.0660 0.1319

# 3
# CePm3C4

A geometry-optimized CePm3C4 structure (PBE-GGA, Alexandria via LeMat-Bulk).

## Properties
Calculated formation energy   -0.04 eV per atom
Symmetry   C2/m, No. 12
Fermi-level density of states   1.07 states/eV per atom

Lattice parameters (Å, degrees): 3.9314 5.1711 7.6393 109.73 104.91 90.00
Element x y z (fractional)
C 0.3737 0.2393 0.7473
C 0.6263 0.7607 0.2527
C 0.3735 0.5085 0.7469
C 0.6265 0.4915 0.2531
Pm 0.8117 0.8117 0.6233
Pm 0.1883 0.1883 0.3767
Pm 0.0000 0.5000 0.0000
Ce 0.5000 0.0000 0.0000

# 4
# NdAl2Re2Si

A geometry-optimized NdAl2Re2Si structure (PBE-GGA, Alexandria via LeMat-Bulk).

## Properties
Energy relative to the elements, uncorrected   -0.121 eV/atom
Symmetry   P4/mmm, No. 123
Fermi-level density of states   0.58 states/eV per atom

Lattice parameters (Å, degrees): 4.5319 4.5319 5.6938 90.00 90.00 90.00
Element x y z (fractional)
Si 0.0000 0.0000 0.0000
Nd 0.0000 0.0000 0.5000
Re 0.0000 0.5000 0.0000
Re 0.5000 0.0000 0.0000
Al 0.5000 0.5000 0.2578
Al 0.5000 0.5000 0.7422

# 5
# Li2CdPS4

A geometry-optimized Li2CdPS4 structure (PBE-GGA, Alexandria via LeMat-Bulk).

## Properties
Energy relative to the elements, uncorrected   -0.625 eV/atom
Symmetry   P1, No. 1
Fermi-level density of states   0.46 states/eV per atom

Lattice parameters (Å, degrees): 5.6099 5.7348 7.0755 117.72 116.54 88.24
Element x y z (fractional)
S 0.4183 0.8527 0.2458
S 0.6060 0.6288 0.7143
S 0.8396 0.4004 0.2435
S 0.0911 0.0654 0.6850
Cd 0.9713 0.4776 0.9642
P 0.7416 0.7408 0.4709
Li 0.2379 0.2393 0.4742
Li 0.4812 0.9820 0.9762

# 6
# K2Cu2TeSe2

A geometry-optimized K2Cu2TeSe2 structure (PBE-GGA, Alexandria via LeMat-Bulk).

## Properties
Energy relative to the elements, uncorrected   -0.506 eV/atom
Symmetry   C2/m, No. 12
Fermi-level density of states   0.58 states/eV per atom

Lattice parameters (Å, degrees): 4.0104 7.1391 7.5962 99.06 90.00 106.31
Element x y z (fractional)
Cu 0.8140 0.6281 0.5539
Cu 0.1860 0.3719 0.4461
K 0.3753 0.7506 0.1707
K 0.6247 0.2494 0.8293
Se 0.3103 0.6207 0.7305
Se 0.6897 0.3793 0.2695
Te 0.0000 0.0000 0.5000

# 7
# CaAlTl3

A geometry-optimized CaAlTl3 structure (PBE-GGA, Alexandria via LeMat-Bulk).

## Properties
Calculated formation energy   0.11 eV per atom
Symmetry   Pm-3m, No. 221
Fermi-level density of states   0.84 states/eV per atom

Lattice parameters (Å, degrees): 5.4165 5.4165 5.4165 90.00 90.00 90.00
Element x y z (fractional)
Tl 0.0000 0.5000 0.0000
Tl 0.5000 0.0000 0.0000
Tl 0.0000 0.0000 0.5000
Al 0.0000 0.0000 0.0000
Ca 0.5000 0.5000 0.5000

# 8
# NdHo6Tm3Sc2

A geometry-optimized NdHo6Tm3Sc2 structure (PBE-GGA, Alexandria via LeMat-Bulk).

## Properties
Calculated formation energy   0.04 eV per atom
Symmetry   C2/m, No. 12
Fermi-level density of states   1.41 states/eV per atom

Lattice parameters (Å, degrees): 6.0294 6.0294 11.5549 94.97 94.97 119.94
Element x y z (fractional)
Ho 0.9166 0.5806 0.7519
Ho 0.4194 0.0834 0.2481
Ho 0.0834 0.4194 0.2481
Ho 0.2527 0.2527 0.7519
Ho 0.5806 0.9166 0.7519
Ho 0.7473 0.7473 0.2481
Nd 0.0000 0.0000 0.0000
Sc 0.6666 0.3334 0.0000
Sc 0.3334 0.6666 0.0000
Tm 0.1673 0.8327 0.5000
Tm 0.5000 0.5000 0.5000
Tm 0.8327 0.1673 0.5000

> Which of these has the highest Fermi-level density of states?

NdHo6Tm3Sc2

Please write out number 5 again, unchanged.
# Li2CdPS4

A geometry-optimized Li2CdPS4 structure (PBE-GGA, Alexandria via LeMat-Bulk).

## Properties
Energy relative to the elements, uncorrected   -0.625 eV/atom
Symmetry   P1, No. 1
Fermi-level density of states   0.46 states/eV per atom

Lattice parameters (Å, degrees): 5.6099 5.7348 7.0755 117.72 116.54 88.24
Element x y z (fractional)
S 0.4183 0.8527 0.2458
S 0.6060 0.6288 0.7143
S 0.8396 0.4004 0.2435
S 0.0911 0.0654 0.6850
Cd 0.9713 0.4776 0.9642
P 0.7416 0.7408 0.4709
Li 0.2379 0.2393 0.4742
Li 0.4812 0.9820 0.9762

> Which of these has the lowest Fermi-level density of states?

Li2CdPS4